Arrangement P

VASP calculation (PBE-GGA) on a relaxed structure of LaPm3Pt3.

```
data_LaPm3Pt3
_chemical_formula_sum 'La6 Pm18 Pt18'
_cell_length_a 8.8102
_cell_length_b 8.8102
_cell_length_c 17.5054
_cell_angle_alpha 90.00
_cell_angle_beta 90.00
_cell_angle_gamma 120.00
_space_group_name_H-M_alt 'R -3'
_space_group_IT_number 148
_space_group_name_Hall '-R 3'
loop_
_atom_site_label
_atom_site_fract_x
_atom_site_fract_y
_atom_site_fract_z
La1 0.0000 0.0000 0.1694
Pm1 0.0129 0.2785 0.6000
Pt1 0.0077 0.3786 0.4328
```

* total moment: 0.0 μB/f.u.

Arrangement Q

VASP calculation (PBE-GGA) on a relaxed structure of LaPm3Pt3.

```
data_LaPm3Pt3
_chemical_formula_sum 'La4 Pm12 Pt12'
_cell_length_a 11.846
_cell_length_b 11.846
_cell_length_c 5.867
_cell_angle_alpha 90.00
_cell_angle_beta 90.00
_cell_angle_gamma 90.00
_space_group_name_H-M_alt 'P 42/m n m'
_space_group_IT_number 136
_space_group_name_Hall '-P 4n 2n'
loop_
_atom_site_label
_atom_site_fract_x
_atom_site_fract_y
_atom_site_fract_z
La1 0.127 0.127 0.000
Pm1 0.116 0.628 0.000
Pm2 0.130 0.870 0.500
Pt1 0.121 0.879 0.000
Pt2 0.123 0.628 0.500
```

* total moment: 0.0 μB/f.u.

Stability summary - winner: arrangement P; margin: 29 meV/atom.

Arrangement P

VASP calculation (PBE-GGA) on a relaxed structure of La2PmPt.

```
data_La2PmPt
_chemical_formula_sum 'La4 Pm2 Pt2'
_cell_length_a 7.041
_cell_length_b 4.059
_cell_length_c 9.756
_cell_angle_alpha 90.00
_cell_angle_beta 104.01
_cell_angle_gamma 90.00
_space_group_name_H-M_alt 'C 1 m 1'
_space_group_IT_number 8
_space_group_name_Hall 'C -2y'
loop_
_atom_site_label
_atom_site_fract_x
_atom_site_fract_y
_atom_site_fract_z
La1 0.000 0.000 0.000
La2 0.210 0.000 0.628
Pm1 0.272 0.500 0.314
Pt1 0.105 0.500 0.815
```

* total moment: 0.0 μB/f.u.

Arrangement Q

VASP calculation (PBE-GGA) on a relaxed structure of La2PmPt.

```
data_La2PmPt
_chemical_formula_sum 'La8 Pm4 Pt4'
_cell_length_a 7.322
_cell_length_b 10.299
_cell_length_c 6.662
_cell_angle_alpha 90.00
_cell_angle_beta 90.00
_cell_angle_gamma 90.00
_space_group_name_H-M_alt 'P n m a'
_space_group_IT_number 62
_space_group_name_Hall '-P 2ac 2n'
loop_
_atom_site_label
_atom_site_fract_x
_atom_site_fract_y
_atom_site_fract_z
La1 0.176 0.062 0.172
Pm1 0.028 0.250 0.650
Pt1 0.121 0.750 0.931
```

* total moment: 0.0 μB/f.u.

Arrangement R

VASP calculation (PBE-GGA) on a relaxed structure of La2PmPt.

```
data_La2PmPt
_chemical_formula_sum 'La6 Pm3 Pt3'
_cell_length_a 3.9009
_cell_length_b 3.9009
_cell_length_c 32.1730
_cell_angle_alpha 90.00
_cell_angle_beta 90.00
_cell_angle_gamma 120.00
_space_group_name_H-M_alt 'R -3 m'
_space_group_IT_number 166
_space_group_name_Hall '-R 3 2"'
loop_
_atom_site_label
_atom_site_fract_x
_atom_site_fract_y
_atom_site_fract_z
La1 0.0000 0.0000 0.1096
Pm1 0.0000 0.0000 0.0000
Pt1 0.0000 0.0000 0.5000
```

* total moment: 0.4 μB/f.u.

Stability summary - winner: arrangement Q; margin: 133 meV/atom.

Arrangement P

VASP calculation (PBE-GGA) on a relaxed structure of LaPmPt.

```
data_LaPmPt
_chemical_formula_sum 'La4 Pm4 Pt4'
_cell_length_a 3.930
_cell_length_b 12.400
_cell_length_c 7.184
_cell_angle_alpha 90.00
_cell_angle_beta 90.00
_cell_angle_gamma 90.00
_space_group_name_H-M_alt 'C m c m'
_space_group_IT_number 63
_space_group_name_Hall '-C 2c 2'
loop_
_atom_site_label
_atom_site_fract_x
_atom_site_fract_y
_atom_site_fract_z
La1 0.000 0.215 0.250
Pm1 0.000 0.500 0.000
Pt1 0.000 0.111 0.750
```

* total moment: 0.0 μB/f.u.

Arrangement Q

VASP calculation (PBE-GGA) on a relaxed structure of LaPmPt.

```
data_LaPmPt
_chemical_formula_sum 'La4 Pm4 Pt4'
_cell_length_a 7.145
_cell_length_b 7.145
_cell_length_c 7.145
_cell_angle_alpha 90.00
_cell_angle_beta 90.00
_cell_angle_gamma 90.00
_space_group_name_H-M_alt 'F -4 3 m'
_space_group_IT_number 216
_space_group_name_Hall 'F -4 2 3'
loop_
_atom_site_label
_atom_site_fract_x
_atom_site_fract_y
_atom_site_fract_z
La1 0.000 0.000 0.000
Pm1 0.000 0.000 0.500
Pt1 0.250 0.250 0.750
```

* total moment: 0.0 μB/f.u.

Arrangement R

VASP calculation (PBE-GGA) on a relaxed structure of LaPmPt.

```
data_LaPmPt
_chemical_formula_sum 'La4 Pm4 Pt4'
_cell_length_a 7.199
_cell_length_b 6.014
_cell_length_c 11.195
_cell_angle_alpha 90.00
_cell_angle_beta 128.86
_cell_angle_gamma 90.00
_space_group_name_H-M_alt 'P 1 21/c 1'
_space_group_IT_number 14
_space_group_name_Hall '-P 2ybc'
loop_
_atom_site_label
_atom_site_fract_x
_atom_site_fract_y
_atom_site_fract_z
La1 0.192 0.153 0.378
Pm1 0.326 0.622 0.633
Pt1 0.324 0.666 0.368
```

* total moment: 0.0 μB/f.u.

Arrangement S

VASP calculation (PBE-GGA) on a relaxed structure of LaPmPt.

```
data_LaPmPt
_chemical_formula_sum 'La2 Pm2 Pt2'
_cell_length_a 3.655
_cell_length_b 3.655
_cell_length_c 13.118
_cell_angle_alpha 90.00
_cell_angle_beta 90.00
_cell_angle_gamma 90.00
_space_group_name_H-M_alt 'I 4 m m'
_space_group_IT_number 107
_space_group_name_Hall 'I 4 -2'
loop_
_atom_site_label
_atom_site_fract_x
_atom_site_fract_y
_atom_site_fract_z
La1 0.000 0.000 0.000
Pm1 0.000 0.000 0.740
Pt1 0.000 0.000 0.363
```

* total moment: 0.0 μB/f.u.

Stability summary - winner: arrangement P; margin: 101 meV/atom.

Arrangement P

VASP calculation (PBE-GGA) on a relaxed structure of LaPmPt.

```
data_LaPmPt
_chemical_formula_sum 'La1 Pm1 Pt1'
_cell_length_a 4.7121
_cell_length_b 4.7121
_cell_length_c 4.4970
_cell_angle_alpha 90.00
_cell_angle_beta 90.00
_cell_angle_gamma 120.00
_space_group_name_H-M_alt 'P 3 m 1'
_space_group_IT_number 156
_space_group_name_Hall 'P 3 -2"'
loop_
_atom_site_label
_atom_site_fract_x
_atom_site_fract_y
_atom_site_fract_z
La1 0.0000 0.0000 0.0000
Pm1 0.6667 0.3333 0.5305
Pt1 0.3333 0.6667 0.3006
```

* total moment: 0.0 μB/f.u.

Arrangement Q

VASP calculation (PBE-GGA) on a relaxed structure of LaPmPt.

```
data_LaPmPt
_chemical_formula_sum 'La6 Pm6 Pt6'
_cell_length_a 4.539
_cell_length_b 16.344
_cell_length_c 7.499
_cell_angle_alpha 90.00
_cell_angle_beta 90.00
_cell_angle_gamma 90.00
_space_group_name_H-M_alt 'I m m 2'
_space_group_IT_number 44
_space_group_name_Hall 'I 2 -2'
loop_
_atom_site_label
_atom_site_fract_x
_atom_site_fract_y
_atom_site_fract_z
La1 0.000 0.000 0.000
La2 0.000 0.349 0.702
Pm1 0.000 0.000 0.512
Pm2 0.000 0.327 0.194
Pt1 0.000 0.186 0.444
Pt2 0.000 0.500 0.268
```

* total moment: 0.0 μB/f.u.

Stability summary - winner: arrangement Q; margin: 131 meV/atom.

Arrangement P

VASP calculation (PBE-GGA) on a relaxed structure of La2Pm3Pt4.

```
data_La2Pm3Pt4
_chemical_formula_sum 'La8 Pm12 Pt16'
_cell_length_a 7.679
_cell_length_b 15.842
_cell_length_c 7.993
_cell_angle_alpha 90.00
_cell_angle_beta 90.00
_cell_angle_gamma 90.00
_space_group_name_H-M_alt 'C m c e'
_space_group_IT_number 64
_space_group_name_Hall '-C 2ac 2'
loop_
_atom_site_label
_atom_site_fract_x
_atom_site_fract_y
_atom_site_fract_z
La1 0.000 0.102 0.101
Pm1 0.000 0.000 0.500
Pm2 0.250 0.206 0.750
Pt1 0.000 0.198 0.448
Pt2 0.250 0.025 0.750
```

* total moment: 0.0 μB/f.u.

Arrangement Q

VASP calculation (PBE-GGA) on a relaxed structure of La2Pm3Pt4.

```
data_La2Pm3Pt4
_chemical_formula_sum 'La4 Pm6 Pt8'
_cell_length_a 7.760
_cell_length_b 7.806
_cell_length_c 8.125
_cell_angle_alpha 90.00
_cell_angle_beta 108.44
_cell_angle_gamma 90.00
_space_group_name_H-M_alt 'P 1 21/c 1'
_space_group_IT_number 14
_space_group_name_Hall '-P 2ybc'
loop_
_atom_site_label
_atom_site_fract_x
_atom_site_fract_y
_atom_site_fract_z
La1 0.202 0.179 0.094
Pm1 0.243 0.666 0.251
Pm2 0.500 0.000 0.500
Pt1 0.095 0.532 0.870
Pt2 0.496 0.132 0.874
```

* total moment: 0.0 μB/f.u.

Stability summary - winner: arrangement Q; margin: 129 meV/atom.

Arrangement P

VASP calculation (PBE-GGA) on a relaxed structure of LaPm2Pt2.

```
data_LaPm2Pt2
_chemical_formula_sum 'La4 Pm8 Pt8'
_cell_length_a 10.486
_cell_length_b 10.403
_cell_length_c 7.645
_cell_angle_alpha 90.00
_cell_angle_beta 133.22
_cell_angle_gamma 90.00
_space_group_name_H-M_alt 'C 1 2/c 1'
_space_group_IT_number 15
_space_group_name_Hall '-C 2yc'
loop_
_atom_site_label
_atom_site_fract_x
_atom_site_fract_y
_atom_site_fract_z
La1 0.000 0.125 0.250
Pm1 0.158 0.375 0.067
Pt1 0.000 0.151 0.750
Pt2 0.000 0.401 0.250
```

* total moment: 0.0 μB/f.u.

Arrangement Q

VASP calculation (PBE-GGA) on a relaxed structure of LaPm2Pt2.

```
data_LaPm2Pt2
_chemical_formula_sum 'La2 Pm4 Pt4'
_cell_length_a 5.766
_cell_length_b 4.648
_cell_length_c 10.794
_cell_angle_alpha 90.00
_cell_angle_beta 99.08
_cell_angle_gamma 90.00
_space_group_name_H-M_alt 'P 1 21/m 1'
_space_group_IT_number 11
_space_group_name_Hall '-P 2yb'
loop_
_atom_site_label
_atom_site_fract_x
_atom_site_fract_y
_atom_site_fract_z
La1 0.051 0.250 0.288
Pm1 0.274 0.750 0.034
Pm2 0.386 0.250 0.615
Pt1 0.163 0.750 0.474
Pt2 0.194 0.250 0.868
```

* total moment: 0.0 μB/f.u.

Stability summary - winner: arrangement Q; margin: 171 meV/atom.

Arrangement P

VASP calculation (PBE-GGA) on a relaxed structure of LaPm3Pt.

```
data_LaPm3Pt
_chemical_formula_sum 'La2 Pm6 Pt2'
_cell_length_a 6.656
_cell_length_b 5.369
_cell_length_c 8.776
_cell_angle_alpha 90.00
_cell_angle_beta 96.96
_cell_angle_gamma 90.00
_space_group_name_H-M_alt 'P 1 21/m 1'
_space_group_IT_number 11
_space_group_name_Hall '-P 2yb'
loop_
_atom_site_label
_atom_site_fract_x
_atom_site_fract_y
_atom_site_fract_z
La1 0.225 0.250 0.261
Pm1 0.111 0.250 0.791
Pm2 0.286 0.750 0.565
Pm3 0.335 0.750 0.983
Pt1 0.485 0.750 0.300
```

* total moment: 0.0 μB/f.u.

Arrangement Q

VASP calculation (PBE-GGA) on a relaxed structure of LaPm3Pt.

```
data_LaPm3Pt
_chemical_formula_sum 'La1 Pm3 Pt1'
_cell_length_a 5.655
_cell_length_b 5.655
_cell_length_c 5.655
_cell_angle_alpha 90.00
_cell_angle_beta 90.00
_cell_angle_gamma 90.00
_space_group_name_H-M_alt 'P m -3 m'
_space_group_IT_number 221
_space_group_name_Hall '-P 4 2 3'
loop_
_atom_site_label
_atom_site_fract_x
_atom_site_fract_y
_atom_site_fract_z
La1 0.000 0.000 0.000
Pm1 0.000 0.500 0.500
Pt1 0.500 0.500 0.500
```

* total moment: 0.7 μB/f.u.

Stability summary - winner: arrangement P; margin: 117 meV/atom.

Arrangement P

VASP calculation (PBE-GGA) on a relaxed structure of LaPmPtRh.

```
data_LaPmPtRh
_chemical_formula_sum 'La4 Pm4 Pt4 Rh4'
_cell_length_a 7.180
_cell_length_b 7.180
_cell_length_c 7.180
_cell_angle_alpha 90.00
_cell_angle_beta 90.00
_cell_angle_gamma 90.00
_space_group_name_H-M_alt 'F -4 3 m'
_space_group_IT_number 216
_space_group_name_Hall 'F -4 2 3'
loop_
_atom_site_label
_atom_site_fract_x
_atom_site_fract_y
_atom_site_fract_z
La1 0.000 0.000 0.000
Pm1 0.000 0.000 0.500
Pt1 0.250 0.250 0.250
Rh1 0.250 0.250 0.750
```

* total moment: 0.0 μB/f.u.

Arrangement Q

VASP calculation (PBE-GGA) on a relaxed structure of LaPmPtRh.

```
data_LaPmPtRh
_chemical_formula_sum 'La2 Pm2 Pt2 Rh2'
_cell_length_a 4.486
_cell_length_b 3.935
_cell_length_c 10.842
_cell_angle_alpha 90.00
_cell_angle_beta 90.00
_cell_angle_gamma 90.00
_space_group_name_H-M_alt 'A m m 2'
_space_group_IT_number 38
_space_group_name_Hall 'A 2 -2'
loop_
_atom_site_label
_atom_site_fract_x
_atom_site_fract_y
_atom_site_fract_z
La1 0.000 0.000 0.000
Pm1 0.500 0.000 0.279
Pt1 0.500 0.000 0.559
Rh1 0.000 0.000 0.738
```

* total moment: 0.0 μB/f.u.

Stability summary - winner: arrangement Q; margin: 92 meV/atom.

Arrangement P

VASP calculation (PBE-GGA) on a relaxed structure of LaPmZnPt.

```
data_LaPmZnPt
_chemical_formula_sum 'La2 Pm2 Zn2 Pt2'
_cell_length_a 4.587
_cell_length_b 4.033
_cell_length_c 11.037
_cell_angle_alpha 90.00
_cell_angle_beta 90.00
_cell_angle_gamma 90.00
_space_group_name_H-M_alt 'A m m 2'
_space_group_IT_number 38
_space_group_name_Hall 'A 2 -2'
loop_
_atom_site_label
_atom_site_fract_x
_atom_site_fract_y
_atom_site_fract_z
La1 0.000 0.000 0.000
Pm1 0.500 0.000 0.721
Zn1 0.500 0.000 0.432
Pt1 0.000 0.000 0.288
```

* total moment: 0.0 μB/f.u.

Arrangement Q

VASP calculation (PBE-GGA) on a relaxed structure of LaPmZnPt.

```
data_LaPmZnPt
_chemical_formula_sum 'La4 Pm4 Zn4 Pt4'
_cell_length_a 7.329
_cell_length_b 7.329
_cell_length_c 7.329
_cell_angle_alpha 90.00
_cell_angle_beta 90.00
_cell_angle_gamma 90.00
_space_group_name_H-M_alt 'F -4 3 m'
_space_group_IT_number 216
_space_group_name_Hall 'F -4 2 3'
loop_
_atom_site_label
_atom_site_fract_x
_atom_site_fract_y
_atom_site_fract_z
La1 0.000 0.000 0.000
Pm1 0.000 0.000 0.500
Zn1 0.250 0.250 0.750
Pt1 0.250 0.250 0.250
```

* total moment: 0.0 μB/f.u.

Stability summary - winner: arrangement P; margin: 51 meV/atom.

Arrangement P

VASP calculation (PBE-GGA) on a relaxed structure of LaPmPu.

```
data_LaPmPu
_chemical_formula_sum 'La1 Pm1 Pu1'
_cell_length_a 5.7891
_cell_length_b 5.7891
_cell_length_c 3.3407
_cell_angle_alpha 90.00
_cell_angle_beta 90.00
_cell_angle_gamma 120.00
_space_group_name_H-M_alt 'P -6 m 2'
_space_group_IT_number 187
_space_group_name_Hall 'P -6 2'
loop_
_atom_site_label
_atom_site_fract_x
_atom_site_fract_y
_atom_site_fract_z
La1 0.0000 0.0000 0.0000
Pm1 0.3333 0.6667 0.0000
Pu1 0.6667 0.3333 0.5000
```

* total moment: 5.6 μB/f.u.

Arrangement Q

VASP calculation (PBE-GGA) on a relaxed structure of LaPmPu.

```
data_LaPmPu
_chemical_formula_sum 'La2 Pm2 Pu2'
_cell_length_a 3.585
_cell_length_b 3.585
_cell_length_c 15.282
_cell_angle_alpha 90.00
_cell_angle_beta 90.00
_cell_angle_gamma 90.00
_space_group_name_H-M_alt 'I 4 m m'
_space_group_IT_number 107
_space_group_name_Hall 'I 4 -2'
loop_
_atom_site_label
_atom_site_fract_x
_atom_site_fract_y
_atom_site_fract_z
La1 0.000 0.000 0.000
Pm1 0.000 0.000 0.676
Pu1 0.000 0.000 0.337
```

* total moment: 6.1 μB/f.u.

Stability summary - winner: arrangement Q; margin: 120 meV/atom.